No. 1
HgAuS | GGA-PBE | optimized geometry

Properties
- E_form (uncorrected): -0.109 eV/atom
- Magnetization: 0.0000 μB per atom
- Calculated total energy: -16.1 eV per cell

a b c (Å): 4.8824 4.8895 7.2904
angles (deg): 106.24 106.97 95.32
Last column: nearest neighbours and their distance in Å.
Element x y z (fractional)
Hg (0.1108, 0.1094, 0.3833)  1 S 2.49, 1 Hg 2.66
Hg (0.8892, 0.8906, 0.6167)  1 S 2.49, 1 Hg 2.66
Au (0.0000, 0.5000, 0.0000)  2 S 2.33
Au (0.5000, 0.0000, 0.0000)  2 S 2.33
S (0.3786, 0.3747, 0.2227)  2 Au 2.33, 1 Hg 2.49
S (0.6214, 0.6253, 0.7773)  2 Au 2.33, 1 Hg 2.49

No. 2
Hg12Au3S5 | GGA-PBE | optimized geometry

Properties
- E_form (uncorrected): 0.018 eV/atom
- Magnetization: 0.0000 μB per atom
- Calculated total energy: -134.9 eV per cell

a b c (Å): 13.8956 13.8956 13.8956
angles (deg): 109.47 109.47 109.47
Last column: nearest neighbours and their distance in Å.
Element x y z (fractional)
Hg (0.0569, 0.2359, 0.1263)  2 S 2.59-2.82, 1 Au 2.75
Hg (0.0569, 0.3211, 0.9306)  2 S 2.59-2.82, 1 Au 2.75
Hg (0.0694, 0.6263, 0.3905)  2 S 2.59-2.82, 1 Au 2.75
Hg (0.0694, 0.9431, 0.6789)  2 S 2.59-2.82, 1 Au 2.75
Hg (0.1095, 0.7359, 0.6789)  2 S 2.59-2.82, 1 Au 2.75
Hg (0.1095, 0.8737, 0.4306)  2 S 2.59-2.82, 1 Au 2.75
Hg (0.1263, 0.0569, 0.2359)  2 S 2.59-2.82, 1 Au 2.75
Hg (0.1263, 0.5694, 0.8905)  2 S 2.59-2.82, 1 Au 2.75
Hg (0.1789, 0.2359, 0.6095)  2 S 2.59-2.82, 1 Au 2.75
Hg (0.1789, 0.4431, 0.5694)  2 S 2.59-2.82, 1 Au 2.75
Hg (0.2359, 0.1263, 0.0569)  2 S 2.59-2.82, 1 Au 2.75
Hg (0.2359, 0.6095, 0.1789)  2 S 2.59-2.82, 1 Au 2.75
Hg (0.2641, 0.3211, 0.8905)  2 S 2.59-2.82, 1 Au 2.75
Hg (0.2641, 0.4431, 0.3737)  2 S 2.59-2.82, 1 Au 2.75
Hg (0.3211, 0.8905, 0.2641)  2 S 2.59-2.82, 1 Au 2.75
Hg (0.3211, 0.9306, 0.0569)  2 S 2.59-2.82, 1 Au 2.75
Hg (0.3737, 0.2641, 0.4431)  2 S 2.59-2.82, 1 Au 2.75
Hg (0.3737, 0.6095, 0.9306)  2 S 2.59-2.82, 1 Au 2.75
Hg (0.3905, 0.0694, 0.6263)  2 S 2.59-2.82, 1 Au 2.75
Hg (0.3905, 0.8211, 0.7641)  2 S 2.59-2.82, 1 Au 2.75
Hg (0.4306, 0.1095, 0.8737)  2 S 2.59-2.82, 1 Au 2.75
Hg (0.4306, 0.8211, 0.5569)  2 S 2.59-2.82, 1 Au 2.75
Hg (0.4431, 0.3737, 0.2641)  2 S 2.59-2.82, 1 Au 2.75
Hg (0.4431, 0.5694, 0.1789)  2 S 2.59-2.82, 1 Au 2.75
Hg (0.5569, 0.4306, 0.8211)  2 S 2.59-2.82, 1 Au 2.75
Hg (0.5569, 0.6263, 0.7359)  2 S 2.59-2.82, 1 Au 2.75
Hg (0.5694, 0.1789, 0.4431)  2 S 2.59-2.82, 1 Au 2.75
Hg (0.5694, 0.8905, 0.1263)  2 S 2.59-2.82, 1 Au 2.75
Hg (0.6095, 0.1789, 0.2359)  2 S 2.59-2.82, 1 Au 2.75
Hg (0.6095, 0.9306, 0.3737)  2 S 2.59-2.82, 1 Au 2.75
Hg (0.6263, 0.3905, 0.0694)  2 S 2.59-2.82, 1 Au 2.75
Hg (0.6263, 0.7359, 0.5569)  2 S 2.59-2.82, 1 Au 2.75
Hg (0.6789, 0.0694, 0.9431)  2 S 2.59-2.82, 1 Au 2.75
Hg (0.6789, 0.1095, 0.7359)  2 S 2.59-2.82, 1 Au 2.75
Hg (0.7359, 0.5569, 0.6263)  2 S 2.59-2.82, 1 Au 2.75
Hg (0.7359, 0.6789, 0.1095)  2 S 2.59-2.82, 1 Au 2.75
Hg (0.7641, 0.3905, 0.8211)  2 S 2.59-2.82, 1 Au 2.75
Hg (0.7641, 0.8737, 0.9431)  2 S 2.59-2.82, 1 Au 2.75
Hg (0.8211, 0.5569, 0.4306)  2 S 2.59-2.82, 1 Au 2.75
Hg (0.8211, 0.7641, 0.3905)  2 S 2.59-2.82, 1 Au 2.75
Hg (0.8737, 0.4306, 0.1095)  2 S 2.59-2.82, 1 Au 2.75
Hg (0.8737, 0.9431, 0.7641)  2 S 2.59-2.82, 1 Au 2.75
Hg (0.8905, 0.1263, 0.5694)  2 S 2.59-2.82, 1 Au 2.75
Hg (0.8905, 0.2641, 0.3211)  2 S 2.59-2.82, 1 Au 2.75
Hg (0.9306, 0.0569, 0.3211)  2 S 2.59-2.82, 1 Au 2.75
Hg (0.9306, 0.3737, 0.6095)  2 S 2.59-2.82, 1 Au 2.75
Hg (0.9431, 0.6789, 0.0694)  2 S 2.59-2.82, 1 Au 2.75
Hg (0.9431, 0.7641, 0.8737)  2 S 2.59-2.82, 1 Au 2.75
Au (0.1250, 0.2500, 0.3750)  4 Hg 2.75
Au (0.1250, 0.3750, 0.7500)  4 Hg 2.75
Au (0.2500, 0.3750, 0.1250)  4 Hg 2.75
Au (0.2500, 0.8750, 0.6250)  4 Hg 2.75
Au (0.3750, 0.1250, 0.2500)  4 Hg 2.75
Au (0.3750, 0.7500, 0.1250)  4 Hg 2.75
Au (0.6250, 0.2500, 0.8750)  4 Hg 2.75
Au (0.6250, 0.8750, 0.7500)  4 Hg 2.75
Au (0.7500, 0.1250, 0.3750)  4 Hg 2.75
Au (0.7500, 0.6250, 0.8750)  4 Hg 2.75
Au (0.8750, 0.6250, 0.2500)  4 Hg 2.75
Au (0.8750, 0.7500, 0.6250)  4 Hg 2.75
S (0.0000, 0.0000, 0.0000)  6 Hg 2.82
S (0.0000, 0.0000, 0.5000)  6 Hg 2.82
S (0.0000, 0.5000, 0.0000)  6 Hg 2.82
S (0.0000, 0.5000, 0.5000)  6 Hg 2.82
S (0.1250, 0.7500, 0.8750)  4 Hg 2.59
S (0.1250, 0.8750, 0.2500)  4 Hg 2.59
S (0.2500, 0.1250, 0.8750)  4 Hg 2.59
S (0.2500, 0.6250, 0.3750)  4 Hg 2.59
S (0.3750, 0.2500, 0.6250)  4 Hg 2.59
S (0.3750, 0.6250, 0.7500)  4 Hg 2.59
S (0.5000, 0.0000, 0.0000)  6 Hg 2.82
S (0.5000, 0.0000, 0.5000)  6 Hg 2.82
S (0.5000, 0.5000, 0.0000)  6 Hg 2.82
S (0.5000, 0.5000, 0.5000)  6 Hg 2.82
S (0.6250, 0.3750, 0.2500)  4 Hg 2.59
S (0.6250, 0.7500, 0.3750)  4 Hg 2.59
S (0.7500, 0.3750, 0.6250)  4 Hg 2.59
S (0.7500, 0.8750, 0.1250)  4 Hg 2.59
S (0.8750, 0.1250, 0.7500)  4 Hg 2.59
S (0.8750, 0.2500, 0.1250)  4 Hg 2.59

No. 3
HgAu3S | GGA-PBE | optimized geometry

Properties
- E_form (uncorrected): 0.358 eV/atom
- Magnetization: 0.0000 μB per atom
- Calculated total energy: -12.5 eV per cell

a b c (Å): 4.9029 4.9029 4.9029
angles (deg): 90.00 90.00 90.00
Last column: nearest neighbours and their distance in Å.
Element x y z (fractional)
Hg (0.0000, 0.0000, 0.0000)  12 Au 3.47
Au (0.0000, 0.5000, 0.5000)  2 S 2.45
Au (0.5000, 0.0000, 0.5000)  2 S 2.45
Au (0.5000, 0.5000, 0.0000)  2 S 2.45
S (0.5000, 0.5000, 0.5000)  6 Au 2.45

Which value of E_form (uncorrected) does entry 2 give? 0.018 eV/atom

Look up the E_form (uncorrected) of the second one. 0.018 eV/atom